Record 1
VASP calculation (PBE-GGA) on a geometry-optimized Y2HRhAu structure.

Unit cell a=5.2196 b=5.0781 c=5.2196 alpha=90.00 beta=90.00 gamma=90.00
Element x y z (fractional)
1 Y 0.0000 0.0000 0.5000
2 Au 0.0000 0.5000 0.0000
3 Rh 0.0000 0.0000 0.0000
4 Y 0.5000 0.0000 0.0000
5 H 0.5000 0.5000 0.5000

Calculated values
* polymorph energy (0 for the lowest one): 0.954 eV/atom


Record 2
VASP calculation (PBE-GGA) on a geometry-optimized HoNi6As2 structure.

Unit cell a=3.9283 b=3.9283 c=8.0520 alpha=90.00 beta=90.00 gamma=90.00
Element x y z (fractional)
1 As 0.5000 0.5000 0.8386
2 Ni 0.0000 0.5000 0.6885
3 Ni 0.0000 0.5000 0.3115
4 Ho 0.0000 0.0000 0.0000
5 Ni 0.0000 0.0000 0.5000
6 Ni 0.5000 0.5000 0.5000
7 Ni 0.5000 0.0000 0.3115
8 As 0.5000 0.5000 0.1614
9 Ni 0.5000 0.0000 0.6885

Calculated values
* E_tot: -5.74 eV/atom


Record 3
VASP calculation (PBE-GGA) on a geometry-optimized ReGeSbBr2 structure.

Unit cell a=5.4767 b=5.7517 c=5.4767 alpha=90.00 beta=90.00 gamma=90.00
Element x y z (fractional)
1 Br 0.5000 0.0000 0.0000
2 Ge 0.0000 0.5000 0.0000
3 Re 0.5000 0.5000 0.5000
4 Sb 0.0000 0.0000 0.0000
5 Br 0.0000 0.0000 0.5000

Calculated values
* E_form (uncorrected): 1404 meV per atom


no.,density of states at the Fermi level (states/eV/f.u.)
1,2.93
2,14.63
3,1.61